1) Na3FeSi after structural relaxation, computed with PBE-GGA.

Geometry as POSCAR:
```
Na3FeSi
1.0
5.310 0.000 0.000
0.000 5.310 0.000
0.000 0.000 5.310
Na Fe Si
3 1 1
direct
0.000 0.000 0.500
0.000 0.500 0.000
0.500 0.000 0.000
0.000 0.000 0.000
0.500 0.500 0.500
```

Properties
space-group type = Pm-3m, No. 221
volume = 29.9 Å³/atom

2) Na3FeSi after structural relaxation, computed with PBE-GGA.

Geometry as POSCAR:
```
Na3FeSi
1.0
5.545 0.000 0.000
0.000 5.545 0.000
0.000 0.000 5.545
Na Fe Si
3 1 1
direct
0.000 0.000 0.500
0.000 0.500 0.000
0.500 0.000 0.000
0.500 0.500 0.500
0.000 0.000 0.000
```

Properties
space-group type = Pm-3m, No. 221
volume = 34.1 Å³/atom

Most stable structure - 2); separation to the second - 0.172 eV/atom.

1) NaFeSi2 after structural relaxation, computed with PBE-GGA.

Geometry as POSCAR:
```
NaFeSi2
1.0
0.000 2.982 2.982
2.982 0.000 2.982
2.982 2.982 0.000
Na Fe Si
1 1 2
direct
0.000 0.000 0.000
0.500 0.500 0.500
0.250 0.250 0.250
0.750 0.750 0.750
```

Properties
space-group type = Fm-3m, No. 225
volume = 13.3 Å³/atom

2) NaFeSi2 after structural relaxation, computed with PBE-GGA.

Geometry as POSCAR:
```
NaFeSi2
1.0
-2.627 2.627 6.739
2.627 -2.627 6.739
2.627 2.627 -6.739
Na Fe Si
2 2 4
direct
0.375 0.625 0.750
0.625 0.375 0.250
0.125 0.875 0.250
0.875 0.125 0.750
0.000 0.000 0.000
0.000 0.000 0.500
0.000 0.500 0.000
0.500 0.000 0.500
```

Properties
space-group type = I4_1/amd, No. 141
volume = 23.3 Å³/atom

Most stable structure - 2); separation to the second - 0.137 eV/atom.

1) NaFe3Sn after structural relaxation, computed with PBE-GGA.

Geometry as POSCAR:
```
NaFe3Sn
1.0
4.487 0.000 0.000
0.000 4.487 0.000
0.000 0.000 4.487
Na Fe Sn
1 3 1
direct
0.000 0.000 0.000
0.000 0.000 0.500
0.000 0.500 0.000
0.500 0.000 0.000
0.500 0.500 0.500
```

Properties
space-group type = Pm-3m, No. 221
volume = 18.1 Å³/atom

2) NaFe3Sn after structural relaxation, computed with PBE-GGA.

Geometry as POSCAR:
```
NaFe3Sn
1.0
4.935 0.000 0.000
0.000 4.935 0.000
0.000 0.000 4.935
Na Fe Sn
1 3 1
direct
0.000 0.000 0.000
0.000 0.500 0.500
0.500 0.000 0.500
0.500 0.500 0.000
0.500 0.500 0.500
```

Properties
space-group type = Pm-3m, No. 221
volume = 24.0 Å³/atom

Most stable structure - 2); separation to the second - 0.374 eV/atom.